The following is a DFT calculation (GGA-PBE) of crystalline LiZr2V at its relaxed geometry.

a b c (Å): 10.3940 10.3940 10.3940
angles (deg): 157.58 157.58 31.91
Closest atoms and distances in Å follow each position.
Element x y z (fractional)
Li  0.0000  0.0000  0.0000  4 V 2.86, 4 Zr 2.88
Li  0.7500  0.2500  0.5000  4 V 2.86, 4 Zr 2.88
Zr  0.1289  0.6250  0.0039  4 Zr 2.83-2.88, 2 V 2.87, 2 Li 2.88
Zr  0.3750  0.3789  0.5039  4 Zr 2.83-2.88, 2 V 2.87, 2 Li 2.88
Zr  0.6211  0.1250  0.9961  4 Zr 2.83-2.88, 2 V 2.87, 2 Li 2.88
Zr  0.8750  0.8711  0.4961  4 Zr 2.83-2.88, 2 V 2.87, 2 Li 2.88
V  0.2500  0.7500  0.5000  4 Li 2.86, 4 Zr 2.87
V  0.5000  0.5000  0.0000  4 Li 2.86, 4 Zr 2.87

Output
The formation enthalpy at 0 K is 779 meV per atom. The calculation puts the energy above the most stable polymorph in this dataset at 604 meV per atom. The calculation puts the volume at 20.4 A^3/atom. The calculation puts the magnetization at 4.0 Bohr magnetons per cell.

***

The following is a DFT calculation (GGA-PBE) of crystalline Ca2VRu at its relaxed geometry.

a b c (Å): 5.0110 5.0110 5.0110
angles (deg): 60.00 60.00 60.00
Closest atoms and distances in Å follow each position.
Element x y z (fractional)
Ca  0.2500  0.2500  0.2500  4 Ru 3.07, 4 V 3.07
Ca  0.7500  0.7500  0.7500  4 Ru 3.07, 4 V 3.07
V  0.0000  0.0000  0.0000  8 Ca 3.07
Ru  0.5000  0.5000  0.5000  8 Ca 3.07

Output
The formation enthalpy at 0 K is 641 meV per atom. The calculation puts the energy above the most stable polymorph in this dataset at 51 meV per atom. The calculation puts the volume at 22.2 A^3/atom. The calculation puts the magnetization at 3.3 Bohr magnetons per cell.

***

The following is a DFT calculation (GGA-PBE) of crystalline KBa3 at its relaxed geometry.

a b c (Å): 15.3230 15.3230 15.3230
angles (deg): 16.89 16.89 16.89
Closest atoms and distances in Å follow each position.
Element x y z (fractional)
K  0.0000  0.0000  0.0000  6 K 4.50, 6 Ba 4.66
Ba  0.2479  0.2479  0.2479  9 Ba 4.50-4.51, 3 K 4.66
Ba  0.5000  0.5000  0.5000  12 Ba 4.50-4.51
Ba  0.7521  0.7521  0.7521  9 Ba 4.50-4.51, 3 K 4.66

Output
The formation enthalpy at 0 K is 52 meV per atom. The calculation puts the energy above the most stable polymorph in this dataset at 5 meV per atom. The calculation puts the volume at 66.2 A^3/atom. The calculation puts the magnetization at 0.0 Bohr magnetons per cell.

***

The following is a DFT calculation (GGA-PBE) of crystalline NaBiPb3 at its relaxed geometry.

a b c (Å): 5.5482 5.5482 5.5482
angles (deg): 90.00 90.00 90.00
Closest atoms and distances in Å follow each position.
Element x y z (fractional)
Na  0.0000  0.0000  0.0000  6 Pb 2.77
Bi  0.5000  0.5000  0.5000  12 Pb 3.92
Pb  0.0000  0.0000  0.5000  2 Na 2.77
Pb  0.0000  0.5000  0.0000  2 Na 2.77
Pb  0.5000  0.0000  0.0000  2 Na 2.77

Output
The formation enthalpy at 0 K is 459 meV per atom. The calculation puts the energy above the most stable polymorph in this dataset at 542 meV per atom. The calculation puts the volume at 34.2 A^3/atom. The calculation puts the magnetization at 0.0 Bohr magnetons per cell.

***

The following is a DFT calculation (GGA-PBE) of crystalline AcTh2Cd9 at its relaxed geometry.

a b c (Å): 10.3184 10.3184 10.3184
angles (deg): 34.10 34.10 34.10
Closest atoms and distances in Å follow each position.
Element x y z (fractional)
Ac  0.0000  0.0000  0.0000  18 Cd 3.49-3.90
Th  0.1461  0.1461  0.1461  12 Cd 3.44-3.54, 3 Th 3.69
Th  0.8539  0.8539  0.8539  12 Cd 3.44-3.54, 3 Th 3.69
Cd  0.0774  0.5884  0.5884  7 Cd 2.96-3.09
Cd  0.3354  0.3354  0.3354  6 Cd 3.00-3.05
Cd  0.4116  0.4116  0.9226  7 Cd 2.96-3.09
Cd  0.4116  0.9226  0.4116  7 Cd 2.96-3.09
Cd  0.5000  0.5000  0.5000  6 Cd 2.98
Cd  0.5884  0.0774  0.5884  7 Cd 2.96-3.09
Cd  0.5884  0.5884  0.0774  7 Cd 2.96-3.09
Cd  0.6646  0.6646  0.6646  6 Cd 3.00-3.05
Cd  0.9226  0.4116  0.4116  7 Cd 2.96-3.09

Output
The formation enthalpy at 0 K is -182 meV per atom. The calculation puts the volume at 25.7 A^3/atom. The calculation puts the magnetization at 0.3 Bohr magnetons per cell.

***

The following is a DFT calculation (GGA-PBE) of crystalline LaGePd6Au at its relaxed geometry.

a b c (Å): 8.0736 8.0736 8.0736
angles (deg): 131.90 108.55 90.81
Closest atoms and distances in Å follow each position.
Element x y z (fractional)
La  0.4350  0.1850  0.2500  6 Pd 2.71-2.85
La  0.5650  0.8150  0.7500  6 Pd 2.71-2.85
Ge  0.0000  0.5000  0.5000  6 Pd 2.39-2.46
Ge  0.5000  0.5000  0.0000  6 Pd 2.39-2.46
Pd  0.1263  0.3389  0.2095  1 Ge 2.39
Pd  0.1263  0.9168  0.7874  1 Ge 2.39
Pd  0.1960  0.9460  0.2500  1 La 2.71, 2 Au 2.77, 4 Pd 2.85
Pd  0.3135  0.5635  0.7500  2 Ge 2.46
Pd  0.3706  0.0832  0.7095  1 Ge 2.39
Pd  0.3706  0.6611  0.2874  1 Ge 2.39
Pd  0.6294  0.3389  0.7126  1 Ge 2.39
Pd  0.6294  0.9168  0.2905  1 Ge 2.39
Pd  0.6865  0.4365  0.2500  2 Ge 2.46
Pd  0.8040  0.0540  0.7500  1 La 2.71, 2 Au 2.77, 4 Pd 2.85
Pd  0.8737  0.0832  0.2126  1 Ge 2.39
Pd  0.8737  0.6611  0.7905  1 Ge 2.39
Au  0.0000  0.0000  0.5000  6 Pd 2.73-2.77
Au  0.0000  0.5000  0.0000  6 Pd 2.73-2.77

Output
The formation enthalpy at 0 K is -250 meV per atom. The calculation puts the volume at 19.5 A^3/atom. The calculation puts the magnetization at 0.0 Bohr magnetons per cell.

***

The following is a DFT calculation (GGA-PBE) of crystalline Zn3NiPd2 at its relaxed geometry.

a b c (Å): 2.8688 2.8688 10.0081
angles (deg): 90.00 90.00 90.00
Closest atoms and distances in Å follow each position.
Element x y z (fractional)
Zn  0.0000  0.0000  0.0000  8 Pd 2.68, 4 Zn 2.87
Zn  0.0000  0.0000  0.3483  4 Ni 2.53, 4 Pd 2.67
Zn  0.0000  0.0000  0.6517  4 Ni 2.53, 4 Pd 2.67
Ni  0.5000  0.5000  0.5000  8 Zn 2.53
Pd  0.5000  0.5000  0.1748  8 Zn 2.67-2.68, 4 Pd 2.87
Pd  0.5000  0.5000  0.8252  8 Zn 2.67-2.68, 4 Pd 2.87

Output
The formation enthalpy at 0 K is -444 meV per atom. The calculation puts the energy above the most stable polymorph in this dataset at 0 meV per atom. The calculation puts the volume at 13.7 A^3/atom. The calculation puts the magnetization at 0.0 Bohr magnetons per cell.

***

What is the formation enthalpy at 0 K in the seventh record?
-444 meV per atom